Entry from the Alexandria database: crystalline MnSi2As at its relaxed geometry (PBE).

Cell lengths 9.277, 9.277, 9.277 Å; angles 17.39, 17.39, 17.39 degrees
Sites, in units of the cell vectors:
As 0.477 0.477 0.477
Mn 0.744 0.744 0.744
Si 0.015 0.015 0.015
Si 0.264 0.264 0.264

Results
The total energy is -5.96 eV/atom. Its space group is R3m. As for the energy relative to the elements, uncorrected: 0.203 eV/atom. The magnetization comes out at 0.0 μB/cell. The crystal system is trigonal.

Entry from the Alexandria database: crystalline TcAsAu2 at its relaxed geometry (PBE).

Cell lengths 5.452, 5.452, 5.452 Å; angles 138.58, 138.58, 60.02 degrees
Last column: magnetic moment on the atom in μB.
Sites, in units of the cell vectors:
As 0.750 0.250 0.500  -0.04
Au 0.000 0.000 0.000  0.06
Au 0.500 0.500 0.000  0.06
Tc 0.250 0.750 0.500  1.92

Results
The total energy is -4.96 eV/atom. Its space group is I4/mmm. The magnetization comes out at 2.2 μB/cell. Its calculated formation energy is 428 meV per atom. The crystal system is tetragonal.

Entry from the Alexandria database: crystalline Zr3Br4Cl2 at its relaxed geometry (PBE).

Cell lengths 3.520, 3.520, 23.058 Å; angles 90.00, 90.00, 120.00 degrees
Sites, in units of the cell vectors:
Zr 0.000 0.000 0.981
Zr 0.000 0.000 0.321
Zr 0.667 0.333 0.657
Br 0.000 0.000 0.577
Br 0.667 0.333 0.402
Br 0.667 0.333 0.240
Br 0.000 0.000 0.738
Cl 0.667 0.333 0.054
Cl 0.667 0.333 0.908

Results
The total energy is -5.40 eV/atom. Its space group is P3m1. As for the energy relative to the elements, uncorrected: -1.393 eV/atom. The magnetization comes out at 0.0 μB/cell. The crystal system is trigonal.

Entry from the Alexandria database: crystalline PrTl3Cd3 at its relaxed geometry (PBE).

Cell lengths 7.956, 7.956, 7.956 Å; angles 90.00, 90.00, 90.00 degrees
Sites, in units of the cell vectors:
Pr 0.500 0.500 0.500
Pr 0.000 0.000 0.000
Tl 0.250 0.000 0.500
Tl 0.000 0.500 0.250
Tl 0.500 0.750 0.000
Tl 0.750 0.000 0.500
Tl 0.000 0.500 0.750
Tl 0.500 0.250 0.000
Cd 0.000 0.250 0.500
Cd 0.000 0.750 0.500
Cd 0.500 0.000 0.750
Cd 0.750 0.500 0.000
Cd 0.500 0.000 0.250
Cd 0.250 0.500 0.000

Results
The total energy is -1.68 eV/atom. Its space group is Pm-3n. The magnetization comes out at 0.0 μB/cell. Its calculated formation energy is 413 meV per atom. The crystal system is cubic.

Entry from the Alexandria database: crystalline ThBiPd5 at its relaxed geometry (PBE).

Cell lengths 5.579, 8.882, 10.953 Å; angles 90.00, 90.00, 90.00 degrees
Sites, in units of the cell vectors:
Th 0.250 0.257 0.957
Th 0.750 0.243 0.457
Th 0.250 0.757 0.543
Th 0.750 0.743 0.043
Bi 0.250 0.851 0.845
Bi 0.750 0.649 0.345
Bi 0.250 0.351 0.655
Bi 0.750 0.149 0.155
Pd 0.250 0.593 0.023
Pd 0.750 0.907 0.523
Pd 0.250 0.093 0.477
Pd 0.750 0.407 0.977
Pd 0.750 0.325 0.725
Pd 0.250 0.175 0.225
Pd 0.750 0.825 0.775
Pd 0.250 0.675 0.275
Pd 0.250 0.917 0.083
Pd 0.750 0.583 0.583
Pd 0.250 0.417 0.417
Pd 0.750 0.083 0.917
Pd 0.996 0.431 0.195
Pd 0.004 0.069 0.695
Pd 0.504 0.931 0.305
Pd 0.496 0.569 0.805
Pd 0.004 0.569 0.805
Pd 0.996 0.931 0.305
Pd 0.496 0.069 0.695
Pd 0.504 0.431 0.195

Results
The total energy is -5.87 eV/atom. Its space group is Pnma. The magnetization comes out at 0.0 μB/cell. Its calculated formation energy is -548 meV per atom. The crystal system is orthorhombic.

Entry from the Alexandria database: crystalline Al2PtCl at its relaxed geometry (PBE).

Cell lengths 4.825, 2.821, 4.825 Å; angles 90.00, 90.00, 90.00 degrees
Sites, in units of the cell vectors:
Al 0.000 0.251 0.875
Al 0.500 0.250 0.375
Pt 0.500 0.750 0.875
Cl 0.000 0.248 0.375

Results
The total energy is -4.48 eV/atom. Its space group is P4mm. As for the energy relative to the elements, uncorrected: -0.634 eV/atom. The magnetization comes out at 0.0 μB/cell. The crystal system is tetragonal.

Entry from the Alexandria database: crystalline Bi2RhS2 at its relaxed geometry (PBE).

Cell lengths 4.161, 4.161, 14.104 Å; angles 100.34, 100.34, 90.02 degrees
Sites, in units of the cell vectors:
Bi 0.948 0.355 0.864
Bi 0.605 0.698 0.364
Bi 0.302 0.395 0.636
Bi 0.645 0.052 0.136
Rh 0.528 0.472 0.000
Rh 0.722 0.278 0.500
S 0.791 0.860 0.611
S 0.110 0.541 0.111
S 0.459 0.890 0.889
S 0.140 0.209 0.389

Results
The total energy is -4.81 eV/atom. Its space group is C2/c. As for the energy relative to the elements, uncorrected: -0.141 eV/atom. The magnetization comes out at 0.0 μB/cell. The crystal system is monoclinic.

Entry from the Alexandria database: crystalline YNiGePt3 at its relaxed geometry (PBE).

Cell lengths 5.586, 6.727, 6.678 Å; angles 120.25, 90.00, 90.00 degrees
Sites, in units of the cell vectors:
Y 0.750 0.293 0.586
Y 0.250 0.707 0.414
Ni 0.250 0.930 0.861
Ni 0.750 0.070 0.139
Ge 0.250 0.365 0.731
Ge 0.750 0.635 0.269
Pt 0.250 0.158 0.316
Pt 0.000 0.288 0.000
Pt 0.500 0.712 0.000
Pt 0.500 0.288 0.000
Pt 0.000 0.712 0.000
Pt 0.750 0.842 0.684

Results
The total energy is -6.36 eV/atom. Its space group is Cmcm. The magnetization comes out at 0.0 μB/cell. Its calculated formation energy is -529 meV per atom. The crystal system is orthorhombic.

Entry from the Alexandria database: crystalline Ag2HgIr at its relaxed geometry (PBE).

Cell lengths 9.967, 9.967, 9.967 Å; angles 16.66, 16.66, 16.66 degrees
Last column: magnetic moment on the atom in μB.
Sites, in units of the cell vectors:
Ir 0.750 0.750 0.750  0.48
Hg 0.250 0.250 0.250  0.00
Ag 0.004 0.004 0.004  0.00
Ag 0.496 0.496 0.496  0.00

Results
The total energy is -3.42 eV/atom. Its space group is R-3m. The magnetization comes out at 0.5 μB/cell. Its calculated formation energy is 293 meV per atom. The crystal system is trigonal.

Entry from the Alexandria database: crystalline InNiHRh at its relaxed geometry (PBE).

Cell lengths 3.169, 3.163, 5.325 Å; angles 107.28, 107.34, 90.00 degrees
Sites, in units of the cell vectors:
In 0.075 0.592 0.184
Ni 0.729 0.246 0.493
H 0.811 0.828 0.656
Rh 0.404 0.921 0.842

Results
The total energy is -4.91 eV/atom. Its space group is Imm2. The magnetization comes out at 0.0 μB/cell. The crystal system is orthorhombic.

Entry from the Alexandria database: crystalline RbNi3Pt at its relaxed geometry (PBE).

Cell lengths 4.479, 4.479, 4.479 Å; angles 90.00, 90.00, 90.00 degrees
Sites, in units of the cell vectors:
Ni 0.000 0.500 0.000
Ni 0.000 0.000 0.500
Ni 0.500 0.000 0.000
Rb 0.000 0.000 0.000
Pt 0.500 0.500 0.500

Results
The total energy is -2.67 eV/atom. Its space group is Pm-3m. The magnetization comes out at 0.0 μB/cell. Its calculated formation energy is 2198 meV per atom. The crystal system is cubic.

Entry from the Alexandria database: crystalline Pr8P4Se3 at its relaxed geometry (PBE).

Cell lengths 8.416, 8.429, 8.429 Å; angles 90.11, 119.86, 119.86 degrees
Sites, in units of the cell vectors:
Pr 0.484 0.236 0.236
Pr 0.000 0.756 0.244
Pr 0.991 0.242 0.242
Pr 0.500 0.757 0.243
Pr 0.500 0.243 0.757
Pr 0.009 0.758 0.758
Pr 0.000 0.244 0.756
Pr 0.516 0.764 0.764
P 0.500 0.000 0.000
P 0.000 0.500 0.000
P 0.000 0.000 0.000
P 0.000 0.000 0.500
Se 0.500 0.500 0.000
Se 0.500 0.000 0.500
Se 0.500 0.500 0.500

Results
The total energy is -6.28 eV/atom. Its space group is C2/m. As for the energy relative to the elements, uncorrected: -1.589 eV/atom. The magnetization comes out at 0.0 μB/cell. The crystal system is monoclinic.

Entry from the Alexandria database: crystalline Pr6In3Pt at its relaxed geometry (PBE).

Cell lengths 5.415, 9.435, 12.115 Å; angles 90.00, 90.00, 90.00 degrees
Sites, in units of the cell vectors:
Pr 0.500 0.158 0.918
Pr 0.500 0.184 0.584
Pr 0.500 0.490 0.261
Pr 0.500 0.510 0.739
Pr 0.500 0.816 0.416
Pr 0.500 0.842 0.082
Pr 0.000 0.342 0.418
Pr 0.000 0.316 0.084
Pr 0.000 0.010 0.761
Pr 0.000 0.990 0.239
Pr 0.000 0.684 0.916
Pr 0.000 0.658 0.582
In 0.500 0.844 0.726
In 0.500 0.500 0.000
In 0.500 0.156 0.274
In 0.000 0.656 0.226
In 0.000 0.000 0.500
In 0.000 0.344 0.774
Pt 0.500 0.500 0.500
Pt 0.000 0.000 0.000

Results
The total energy is -4.75 eV/atom. Its space group is Pnnm. The magnetization comes out at 0.0 μB/cell. Its calculated formation energy is -453 meV per atom. The crystal system is orthorhombic.

Entry from the Alexandria database: crystalline ThTiSn at its relaxed geometry (PBE).

Cell lengths 3.899, 4.827, 4.827 Å; angles 120.00, 90.00, 90.00 degrees
Last column: magnetic moment on the atom in μB.
Sites, in units of the cell vectors:
Sn 0.167 0.000 0.000  -0.02
Th 0.667 0.667 0.333  0.27
Ti 0.167 0.333 0.667  1.26

Results
The total energy is -6.57 eV/atom. Its space group is P-6m2. The magnetization comes out at 2.1 μB/cell. Its calculated formation energy is -129 meV per atom. The crystal system is hexagonal.